VBiPbO5 | the Alexandria database | PBE with a Hubbard U | relaxed; energy above the lowest structure with this stoichiometry = 22 meV/atom; electronic total energy = -6.55 eV/atom; spin magnetization = 0.000 μB per atom
1.0
7.2690 -0.0091 -0.0008
5.0709 5.2081 -0.0008
2.4483 1.0315 6.7645
V Bi Pb O
2 2 2 10
Cartesian
11.8891 5.0091 4.4048
2.8990 1.2214 2.3580
6.6523 2.8027 1.6842
8.1359 3.4278 5.0787
10.6798 4.4996 0.7928
4.1084 1.7309 5.9701
6.6891 1.3672 -0.0008
5.6507 3.8318 -0.0008
4.4657 1.8815 1.9822
10.3225 4.3490 4.7806
7.8822 4.8625 1.5691
5.8028 3.9865 5.1938
2.6598 1.1206 4.0740
12.1284 5.1099 2.6889
8.9854 2.2441 1.5691
6.9060 1.3680 5.1938